GaCu2Br4: optimized geometry, GGA-PBE.

Properties
* Fermi-level density of states: 8.85 states/eV/cell
* V: 406.9 Å³/cell
* energy: -2.934 eV per atom

Unit cell a=5.717 b=5.717 c=12.450 alpha=90.00 beta=90.00 gamma=90.00
Space group I-42m (No. 121)
Unique sites:
Ga1 0.000 0.000 0.000 [2 per cell]
Cu1 0.000 0.500 0.250 [4 per cell]
Br1 0.237 0.237 0.637 [8 per cell]

---

GaCuBr2: optimized geometry, GGA-PBE.

Properties
* Fermi-level density of states: 0.00 states/eV/cell
* V: 365.6 Å³/cell
* energy: -2.649 eV per atom

Unit cell a=7.150 b=7.150 c=7.150 alpha=90.00 beta=90.00 gamma=90.00
Space group Fm-3m (No. 225)
Unique sites:
Ga1 0.000 0.000 0.000 [4 per cell]
Cu1 0.000 0.000 0.500 [4 per cell]
Br1 0.250 0.250 0.250 [8 per cell]

---

Ga3CuBr: optimized geometry, GGA-PBE.

Properties
* Fermi-level density of states: 1.87 states/eV/cell
* V: 174.8 Å³/cell
* energy: -2.245 eV per atom

Unit cell a=5.591 b=5.591 c=5.591 alpha=90.00 beta=90.00 gamma=90.00
Space group Pm-3m (No. 221)
Unique sites:
Ga1 0.000 0.000 0.500 [3 per cell]
Cu1 0.500 0.500 0.500 [1 per cell]
Br1 0.000 0.000 0.000 [1 per cell]

---

GaCu3Br9: optimized geometry, GGA-PBE.

Properties
* Fermi-level density of states: 25.48 states/eV/cell
* V: 1802.9 Å³/cell
* energy: -2.745 eV per atom

Unit cell a=20.062 b=7.879 c=14.811 alpha=90.00 beta=129.64 gamma=90.00
Space group Cc (No. 9)
Unique sites:
Ga1 0.000 0.199 0.000 [4 per cell]
Cu1 0.114 0.164 0.738 [4 per cell]
Cu2 0.202 0.150 0.542 [4 per cell]
Cu3 0.491 0.101 0.726 [4 per cell]
Br1 0.052 0.250 0.402 [4 per cell]
Br2 0.118 0.424 0.824 [4 per cell]
Br3 0.147 0.230 0.106 [4 per cell]
Br4 0.207 0.256 0.697 [4 per cell]
Br5 0.215 0.012 0.919 [4 per cell]
Br6 0.357 0.196 0.681 [4 per cell]
Br7 0.411 0.316 0.298 [4 per cell]
Br8 0.439 0.058 0.530 [4 per cell]
Br9 0.474 0.464 0.081 [4 per cell]

---

GaCuGe2Br: optimized geometry, GGA-PBE.

Properties
* Fermi-level density of states: 3.69 states/eV/cell
* V: 129.2 Å³/cell
* energy: -2.844 eV per atom

Unit cell a=4.983 b=4.983 c=5.203 alpha=90.00 beta=90.00 gamma=90.00
Space group P4/mmm (No. 123)
Unique sites:
Ga1 0.000 0.000 0.000 [1 per cell]
Cu1 0.500 0.500 0.500 [1 per cell]
Ge1 0.000 0.500 0.000 [2 per cell]
Br1 0.000 0.000 0.500 [1 per cell]

---

KGa2CuBr8: optimized geometry, GGA-PBE.

Properties
* V: 390.7 Å³/cell
* energy: -2.924 eV per atom

Unit cell a=6.8387 b=6.8387 c=9.6457 alpha=90.00 beta=90.00 gamma=120.00
Space group P-3 (No. 147)
Unique sites:
K1 0.0000 0.0000 0.0000 [1 per cell]
Ga1 0.3333 0.6667 0.7422 [2 per cell]
Cu1 0.0000 0.0000 0.5000 [1 per cell]
Br1 0.0146 0.3207 0.6688 [6 per cell]
Br2 0.3333 0.6667 0.9874 [2 per cell]

---

KGa2CuBr: optimized geometry, GGA-PBE.

Properties
* Fermi-level density of states: 2.39 states/eV/cell
* V: 155.4 Å³/cell
* energy: -2.899 eV per atom

Unit cell a=4.621 b=4.621 c=7.280 alpha=90.00 beta=90.00 gamma=90.00
Space group P4/mmm (No. 123)
Unique sites:
K1 0.000 0.000 0.000 [1 per cell]
Ga1 0.000 0.500 0.500 [2 per cell]
Cu1 0.000 0.000 0.500 [1 per cell]
Br1 0.500 0.500 0.000 [1 per cell]

---

Nd8Ga3CuBr4: optimized geometry, GGA-PBE.

Properties
* Fermi-level density of states: 26.97 states/eV/cell
* V: 915.4 Å³/cell
* energy: -4.454 eV per atom

Unit cell a=14.782 b=8.514 c=8.790 alpha=90.00 beta=124.17 gamma=90.00
Space group C2/m (No. 12)
Unique sites:
Nd1 0.007 0.247 0.274 [8 per cell]
Nd2 0.240 0.000 0.726 [4 per cell]
Nd3 0.244 0.500 0.731 [4 per cell]
Ga1 0.000 0.500 0.500 [2 per cell]
Ga2 0.250 0.250 0.500 [4 per cell]
Cu1 0.000 0.000 0.500 [2 per cell]
Br1 0.000 0.000 0.000 [2 per cell]
Br2 0.000 0.500 0.000 [2 per cell]
Br3 0.250 0.250 0.000 [4 per cell]

---

GaCu2BrO: optimized geometry, GGA-PBE.

Properties
* Fermi-level density of states: 2.21 states/eV/cell
* V: 94.2 Å³/cell
* energy: -2.882 eV per atom

Unit cell a=4.633 b=4.633 c=4.390 alpha=90.00 beta=90.00 gamma=90.00
Space group P4/mmm (No. 123)
Unique sites:
Ga1 0.000 0.000 0.000 [1 per cell]
Cu1 0.000 0.500 0.500 [2 per cell]
Br1 0.500 0.500 0.500 [1 per cell]
O1 0.500 0.500 0.000 [1 per cell]

---

Pm8Ga3CuBr4: optimized geometry, GGA-PBE.

Properties
* Fermi-level density of states: 26.33 states/eV/cell
* V: 895.1 Å³/cell
* energy: -4.441 eV per atom

Unit cell a=14.660 b=8.441 c=8.734 alpha=90.00 beta=124.09 gamma=90.00
Space group C2/m (No. 12)
Unique sites:
Pm1 0.007 0.246 0.275 [8 per cell]
Pm2 0.239 0.000 0.725 [4 per cell]
Pm3 0.243 0.500 0.731 [4 per cell]
Ga1 0.000 0.500 0.500 [2 per cell]
Ga2 0.250 0.250 0.500 [4 per cell]
Cu1 0.000 0.000 0.500 [2 per cell]
Br1 0.000 0.000 0.000 [2 per cell]
Br2 0.000 0.500 0.000 [2 per cell]
Br3 0.250 0.250 0.000 [4 per cell]

---

Pr8Ga3CuBr4: optimized geometry, GGA-PBE.

Properties
* Fermi-level density of states: 27.56 states/eV/cell
* V: 937.2 Å³/cell
* energy: -4.467 eV per atom

Unit cell a=14.910 b=8.593 c=8.847 alpha=90.00 beta=124.23 gamma=90.00
Space group C2/m (No. 12)
Unique sites:
Pr1 0.007 0.248 0.273 [8 per cell]
Pr2 0.241 0.000 0.727 [4 per cell]
Pr3 0.244 0.500 0.732 [4 per cell]
Ga1 0.000 0.500 0.500 [2 per cell]
Ga2 0.250 0.250 0.500 [4 per cell]
Cu1 0.000 0.000 0.500 [2 per cell]
Br1 0.000 0.000 0.000 [2 per cell]
Br2 0.000 0.500 0.000 [2 per cell]
Br3 0.250 0.250 0.000 [4 per cell]

---

Pr4GaCuBr2: optimized geometry, GGA-PBE.

Properties
* Fermi-level density of states: 6.39 states/eV/cell
* V: 231.8 Å³/cell
* energy: -4.468 eV per atom

Unit cell a=7.522 b=4.137 c=7.804 alpha=90.00 beta=107.31 gamma=90.00
Space group P2/m (No. 10)
Unique sites:
Pr1 0.231 0.000 0.218 [2 per cell]
Pr2 0.253 0.500 0.767 [2 per cell]
Ga1 0.500 0.000 0.000 [1 per cell]
Cu1 0.000 0.500 0.000 [1 per cell]
Br1 0.000 0.000 0.500 [1 per cell]
Br2 0.500 0.500 0.500 [1 per cell]